Arrangement a

VASP calculation (PBE) on a geometry-optimized LiH2N structure.

Results
Magnetization in μB/atom: 0.000
Crystal system: cubic
N(E_F) in states/eV/atom: 0.08

abc: 4.2501 4.2501 4.2501
angles: 90.00 90.00 90.00
Last column: nearest neighbours and their distance in Å.
Space group Fm-3m (No. 225)
One atom of each set of equivalent atoms:
Li 0.0000 0.0000 0.0000 x4  8 H 1.84
H 0.2500 0.2500 0.2500 x8  4 Li 1.84, 4 N 1.84
N 0.0000 0.0000 0.5000 x4  8 H 1.84

=====

Arrangement b

VASP calculation (PBE) on a geometry-optimized LiH2N structure.

Results
Magnetization in μB/atom: 0.000
Crystal system: tetragonal
N(E_F) in states/eV/atom: 0.00

abc: 3.6300 3.6300 4.8733
angles: 90.00 90.00 90.00
Last column: nearest neighbours and their distance in Å.
Space group P-42_1m (No. 113)
One atom of each set of equivalent atoms:
Li 0.0000 0.0000 0.0000 x2  4 N 2.10, 4 H 2.21
H 0.1527 0.3473 0.3554 x4  1 N 1.03
N 0.0000 0.5000 0.2179 x2  2 H 1.03

=====

Arrangement c

VASP calculation (PBE) on a geometry-optimized LiH2N structure.

Results
Magnetization in μB/atom: 0.000
Crystal system: tetragonal
N(E_F) in states/eV/atom: 0.00

abc: 5.0209 5.0209 10.3887
angles: 90.00 90.00 90.00
Last column: nearest neighbours and their distance in Å.
Space group I-4 (No. 82)
One atom of each set of equivalent atoms:
Li 0.0000 0.0000 0.0000 x2  4 N 2.22, 4 H 2.33
Li 0.0000 0.0000 0.2438 x4  4 N 2.06-2.23, 2 H 2.21
Li 0.0000 0.5000 0.7500 x2  4 N 2.07
H 0.0874 0.3368 0.3741 x8  1 N 1.03
H 0.1154 0.7301 0.5582 x8  1 N 1.03
N 0.2304 0.2543 0.8655 x8  2 H 1.03

=====

Arrangement d

VASP calculation (PBE) on a geometry-optimized LiH2N structure.

Results
Magnetization in μB/atom: 0.000
Crystal system: orthorhombic
N(E_F) in states/eV/atom: 0.00

abc: 7.3610 3.1841 5.8124
angles: 90.00 90.00 90.00
Last column: nearest neighbours and their distance in Å.
Space group Pna2_1 (No. 33)
One atom of each set of equivalent atoms:
Li 0.0281 0.1672 0.0000 x4  3 H 2.02-2.22, 3 N 2.03-2.13
H 0.1352 0.4097 0.7089 x4  1 N 1.03
H 0.2407 0.7948 0.8225 x4  1 N 1.03
N 0.1105 0.6876 0.7943 x4  2 H 1.03

=====

Stability ranking, top and bottom: arrangement c is the most stable and arrangement a is the least stable.

=====

Arrangement a

VASP calculation (PBE) on a geometry-optimized LiH2N structure.

Results
Magnetization in μB/atom: 0.000
Crystal system: trigonal

abc: 6.6565 6.6565 9.9682
angles: 90.00 90.00 120.00
Last column: nearest neighbours and their distance in Å.
Space group R-3m (No. 166, hexagonal axes)
One atom of each set of equivalent atoms:
Li 0.0000 0.0000 0.0000 x3  2 Li 2.35, 6 N 2.54
Li 0.0000 0.0000 0.2358 x6  3 N 2.04, 6 H 2.27
H 0.0000 0.3509 0.5000 x18  1 N 0.99
N 0.0000 0.5000 0.5000 x9  2 H 0.99

=====

Arrangement b

VASP calculation (PBE) on a geometry-optimized LiH2N structure.

Results
Magnetization in μB/atom: 0.000
Crystal system: monoclinic
N(E_F) in states/eV/atom: 0.00

abc: 3.8329 3.3598 11.3327
angles: 90.00 96.06 90.00
Last column: nearest neighbours and their distance in Å.
Space group P2_1/c (No. 14)
One atom of each set of equivalent atoms:
Li 0.2425 0.2010 0.2291 x4  4 N 2.09-2.13, 4 H 2.20-2.29
H 0.2083 0.5940 0.9059 x4  1 N 1.03
H 0.3874 0.0149 0.9019 x4  1 N 1.03
N 0.2808 0.7026 0.3452 x4  2 H 1.03

=====

Arrangement c

VASP calculation (PBE) on a geometry-optimized LiH2N structure.

Results
Magnetization in μB/atom: 0.000
Crystal system: tetragonal
N(E_F) in states/eV/atom: 0.00

abc: 3.3172 3.3172 8.2339
angles: 90.00 90.00 90.00
Last column: nearest neighbours and their distance in Å.
Space group I4_1/amd (No. 141, origin choice 2)
One atom of each set of equivalent atoms:
Li 0.0000 0.2500 0.3750 x4  8 H 2.12, 4 N 2.35
H 0.0000 0.0000 0.0000 x8  2 N 1.32
N 0.0000 0.2500 0.8750 x4  4 H 1.32

=====

Stability ranking, top and bottom: arrangement b is the most stable and arrangement c is the least stable.

=====

Arrangement a

VASP calculation (PBE) on a geometry-optimized LiH2N structure.

Results
Magnetization in μB/atom: 0.000
Crystal system: orthorhombic
N(E_F) in states/eV/atom: 0.00

abc: 6.8330 7.3189 10.5628
angles: 90.00 90.00 90.00
Last column: nearest neighbours and their distance in Å.
Space group Fddd (No. 70, origin choice 2)
One atom of each set of equivalent atoms:
Li 0.1250 0.1250 0.0063 x16  4 N 2.08-2.21, 2 H 2.20
H 0.0308 0.3101 0.6702 x32  1 N 1.03
N 0.1250 0.3520 0.1250 x16  2 H 1.03

=====

Arrangement b

VASP calculation (PBE) on a geometry-optimized LiH2N structure.

Results
Magnetization in μB/atom: 0.000
Crystal system: monoclinic
N(E_F) in states/eV/atom: 0.00

abc: 3.4503 10.4818 3.8488
angles: 90.00 97.40 90.00
Last column: nearest neighbours and their distance in Å.
Space group C2/c (No. 15)
One atom of each set of equivalent atoms:
Li 0.0000 0.2323 0.2500 x4  4 N 2.10-2.11, 4 H 2.22-2.26
H 0.2009 0.0885 0.8725 x8  1 N 1.03
N 0.0000 0.1519 0.7500 x4  2 H 1.03

=====

Stability ranking, top and bottom: arrangement a is the most stable and arrangement b is the least stable.